No. 1
## La2ScTlOs (GGA-PBE)

Data for a relaxed La2ScTlOs crystal.

Output
ΔE_f = -0.1492 eV/atom

Cell: 5.5798 5.5798 5.0979 Å, 90.00 90.00 90.00°
Space group P4/mmm (No. 123)
One atom of each set of equivalent atoms:
La 0.0000 0.5000 0.0000 x2
Sc 0.0000 0.0000 0.5000 x1
Tl 0.5000 0.5000 0.5000 x1
Os 0.0000 0.0000 0.0000 x1

No. 2
## LaY2ScOs (GGA-PBE)

Data for a relaxed LaY2ScOs crystal.

Output
ΔE_f = -0.0384 eV/atom

Cell: 5.4660 5.4660 5.1486 Å, 90.00 90.00 90.00°
Space group P4/mmm (No. 123)
One atom of each set of equivalent atoms:
La 0.0000 0.0000 0.0000 x1
Y 0.0000 0.5000 0.5000 x2
Sc 0.5000 0.5000 0.0000 x1
Os 0.5000 0.5000 0.5000 x1

No. 3
## LaYSc2Os (GGA-PBE)

Data for a relaxed LaYSc2Os crystal.

Output
ΔE_f = -0.0674 eV/atom

Cell: 5.1513 5.1513 5.4322 Å, 90.00 90.00 90.00°
Space group P4/mmm (No. 123)
One atom of each set of equivalent atoms:
La 0.0000 0.0000 0.0000 x1
Y 0.5000 0.5000 0.0000 x1
Sc 0.0000 0.5000 0.5000 x2
Os 0.5000 0.5000 0.5000 x1

No. 4
## LaOs2Se (GGA-PBE)

Data for a relaxed LaOs2Se crystal.

Cell: 5.5457 8.5795 3.2667 Å, 90.00 90.00 90.00°
Space group Cmmm (No. 65)
One atom of each set of equivalent atoms:
La 0.0000 0.0000 0.0000 x2
Os 0.2500 0.2500 0.5000 x4
Se 0.0000 0.5000 0.0000 x2

No. 5
## LaOs2Se (GGA-PBE)

Data for a relaxed LaOs2Se crystal.

Cell: 3.0977 3.0977 7.6979 Å, 90.00 90.00 90.00°
Space group P4/mmm (No. 123)
One atom of each set of equivalent atoms:
La 0.0000 0.0000 0.0000 x1
Os 0.5000 0.5000 0.3038 x2
Se 0.0000 0.0000 0.5000 x1

No. 6
## LaOsSe4 (GGA-PBE)

Data for a relaxed LaOsSe4 crystal.

Cell: 8.0906 8.0906 8.0906 Å, 90.00 90.00 90.00°
Space group F-43m (No. 216)
One atom of each set of equivalent atoms:
La 0.0000 0.0000 0.0000 x4
Os 0.2500 0.2500 0.7500 x4
Se 0.1238 0.1238 0.3762 x16

No. 7
## LaOs2Se (GGA-PBE)

Data for a relaxed LaOs2Se crystal.

Cell: 3.1203 4.8354 4.9775 Å, 90.00 90.00 90.00°
Space group Pmmm (No. 47)
One atom of each set of equivalent atoms:
La 0.0000 0.0000 0.0000 x1
Os 0.0000 0.5000 0.5000 x1
Os 0.5000 0.0000 0.5000 x1
Se 0.5000 0.5000 0.0000 x1

No. 8
## LaOs2Se (GGA-PBE)

Data for a relaxed LaOs2Se crystal.

Cell: 3.9142 3.9142 10.4749 Å, 90.00 90.00 90.00°
Space group I4/mmm (No. 139)
One atom of each set of equivalent atoms:
La 0.0000 0.0000 0.0000 x2
Os 0.0000 0.5000 0.2500 x4
Se 0.0000 0.0000 0.5000 x2

Number 1: E_tot -30.53 eV/cell, M_tot 0.00 Bohr magnetons per cell. Number 2: E_tot -35.61 eV/cell, M_tot 0.00 Bohr magnetons per cell. Number 3: E_tot -35.62 eV/cell, M_tot 0.00 Bohr magnetons per cell. Number 4: E_tot -56.48 eV/cell, M_tot 0.00 Bohr magnetons per cell. Number 5: E_tot -28.56 eV/cell, M_tot 0.00 Bohr magnetons per cell. Number 6: E_tot -107.98 eV/cell, M_tot 10.90 Bohr magnetons per cell. Number 7: E_tot -29.44 eV/cell, M_tot 0.00 Bohr magnetons per cell. Number 8: E_tot -58.50 eV/cell, M_tot 0.00 Bohr magnetons per cell.